[1]
Material: ZnCuSe
Method: DFT, GGA-PBE
State: relaxed

Results
Raw formation energy, eV per atom: 0.0131
Space-group type: P3m1, No. 156

Unit cell a=3.898 b=3.898 c=4.017 alpha=90.00 beta=90.00 gamma=120.00
Sites, in units of the cell vectors:
Se 0.333 0.667 0.289
Zn 0.667 0.333 0.688
Cu 0.000 0.000 0.023


[2]
Material: Zn2RePt
Method: DFT, GGA-PBE
State: relaxed

Results
Space-group type: P4mm, No. 99
Uncorrected energy, eV per cell: -21.2

Unit cell a=2.734 b=2.734 c=7.987 alpha=90.00 beta=90.00 gamma=90.00
Sites, in units of the cell vectors:
Re 0.500 0.500 0.746
Pt 0.000 0.000 0.505
Zn 0.500 0.500 0.254
Zn 0.000 0.000 0.996


Number 1: M_tot 0.000 μB per formula unit. Number 2: M_tot 0.000 μB per formula unit.